# Cd3SiPt PBE optimized geometry
# offset from the most stable computed form = 3.593 kcal/mol of atoms
# size of the total moment = 0.00 μB/cell
# E_form (uncorrected) = 0.627 eV per atom
data_Cd3SiPt
_cell_length_a 4.952
_cell_length_b 4.952
_cell_length_c 4.952
_cell_angle_alpha 90.00
_cell_angle_beta 90.00
_cell_angle_gamma 90.00
_symmetry_space_group_name_H-M 'P m -3 m'
_symmetry_Int_Tables_number 221
_symmetry_space_group_name_Hall '-P 4 2 3'
loop_
_atom_site_label
_atom_site_type_symbol
_atom_site_fract_x
_atom_site_fract_y
_atom_site_fract_z
Cd1 Cd 0.000 0.000 0.500
Si1 Si 0.000 0.000 0.000
Pt1 Pt 0.500 0.500 0.500

# CsNaLi4 PBE optimized geometry
# formation enthalpy at 0 K = 11 kJ/mol of atoms
# size of the total moment = 0.00 μB/cell
data_CsNaLi4
_cell_length_a 9.333
_cell_length_b 9.333
_cell_length_c 9.333
_cell_angle_alpha 90.00
_cell_angle_beta 90.00
_cell_angle_gamma 90.00
_symmetry_space_group_name_H-M 'F -4 3 m'
_symmetry_Int_Tables_number 216
_symmetry_space_group_name_Hall 'F -4 2 3'
loop_
_atom_site_label
_atom_site_type_symbol
_atom_site_fract_x
_atom_site_fract_y
_atom_site_fract_z
Cs1 Cs 0.000 0.000 0.000
Na1 Na 0.250 0.250 0.250
Li1 Li 0.123 0.123 0.623

# ScHgP2 PBE optimized geometry
# formation enthalpy at 0 K = 8 kJ/mol of atoms
# size of the total moment = 0.00 μB/cell
data_ScHgP2
_cell_length_a 6.701
_cell_length_b 6.701
_cell_length_c 6.701
_cell_angle_alpha 90.00
_cell_angle_beta 90.00
_cell_angle_gamma 90.00
_symmetry_space_group_name_H-M 'F -4 3 m'
_symmetry_Int_Tables_number 216
_symmetry_space_group_name_Hall 'F -4 2 3'
loop_
_atom_site_label
_atom_site_type_symbol
_atom_site_fract_x
_atom_site_fract_y
_atom_site_fract_z
Sc1 Sc 0.000 0.000 0.000
Hg1 Hg 0.250 0.250 0.750
P1 P 0.000 0.000 0.500
P2 P 0.250 0.250 0.250

# DyAl2Cu3 PBE optimized geometry
# formation enthalpy at 0 K = -31 kJ/mol of atoms
# size of the total moment = 0.00 μB/cell
data_DyAl2Cu3
_cell_length_a 9.562
_cell_length_b 7.720
_cell_length_c 5.357
_cell_angle_alpha 90.00
_cell_angle_beta 90.00
_cell_angle_gamma 90.00
_symmetry_space_group_name_H-M 'C m c m'
_symmetry_Int_Tables_number 63
_symmetry_space_group_name_Hall '-C 2c 2'
loop_
_atom_site_label
_atom_site_type_symbol
_atom_site_fract_x
_atom_site_fract_y
_atom_site_fract_z
Dy1 Dy 0.000 0.173 0.250
Al1 Al 0.214 0.500 0.000
Cu1 Cu 0.000 0.454 0.750
Cu2 Cu 0.153 0.207 0.750